No. 1
5
Lattice="4.630 0.000 0.000 0.000 4.630 0.000 2.315 2.315 5.795" Properties=species:S:1:pos:R:3 comment="CaBi2Rh2, relaxed, DFT PBE-GGA" sg="I4/mmm, No. 139" rho_g_cm3=8.9 pbc="T T T"
Rh 4.630 2.315 2.898
Ca 0.000 0.000 0.000
Rh 2.315 4.630 2.898
Bi 2.315 2.315 1.542
Bi 4.630 4.630 4.253

No. 2
9
Lattice="4.772 0.000 0.000 -2.386 5.447 -1.868 0.000 0.799 9.206" Properties=species:S:1:pos:R:3 comment="Ca3Bi4Rh2, relaxed, DFT PBE-GGA" sg="C2/m, No. 12" rho_g_cm3=7.8 pbc="T T T"
Rh 2.386 2.541 2.933
Rh 0.000 3.705 4.404
Bi 2.386 2.262 0.146
Bi 2.386 4.982 4.179
Bi 0.000 1.264 3.158
Bi 0.000 3.984 7.191
Ca 0.000 0.000 0.000
Ca 0.000 4.315 1.456
Ca 2.386 1.931 5.882

No. 3
16
Lattice="-6.502 -1.960 0.592 1.924 -4.218 7.157 -2.615 8.945 0.902" Properties=species:S:1:pos:R:3 comment="Ca2BiRh, relaxed, DFT PBE-GGA" sg="P2_1/c, No. 14" rho_g_cm3=5.4 pbc="T T T"
Bi -7.249 1.292 3.124
Bi 0.056 1.475 5.527
Ca -0.411 -1.933 6.589
Ca -5.153 -0.333 1.194
Rh -4.641 0.434 4.048
Rh -2.552 2.333 4.603
Bi -4.152 2.606 2.244
Ca -3.006 5.208 3.880
Ca -1.723 0.070 3.043
Bi -3.041 0.161 6.407
Ca -2.040 3.100 7.458
Ca -5.470 2.697 5.609
Rh -4.555 -1.939 7.706
Ca -6.782 4.700 2.062
Rh -2.638 4.706 0.945
Ca -4.187 -2.441 4.771

No. 4
8
Lattice="8.523 0.000 0.000 0.000 8.523 0.000 4.261 4.261 3.042" Properties=species:S:1:pos:R:3 comment="CaBi2Rh, relaxed, DFT PBE-GGA" sg="I-42d, No. 122" rho_g_cm3=8.4 pbc="T T T"
Ca 4.261 4.261 0.000
Ca 4.261 8.523 1.521
Bi 1.520 6.392 0.760
Bi 7.003 2.131 0.760
Rh 8.523 4.261 1.521
Rh 0.000 0.000 0.000
Bi 6.392 5.782 2.281
Bi 10.654 11.264 2.281

No. 5
12
Lattice="6.345 -0.198 0.000 -1.876 8.490 0.000 -2.235 -4.146 7.028" Properties=species:S:1:pos:R:3 comment="Ca4BiRh, relaxed, DFT PBE-GGA" sg="C2/c, No. 15" rho_g_cm3=4.2 pbc="T T T"
Rh -2.524 4.294 7.008
Bi 0.648 4.195 1.892
Ca -1.047 1.907 6.137
Ca 0.041 0.943 2.341
Ca 3.281 2.239 0.891
Ca -0.897 5.188 4.687
Rh 4.759 -0.148 0.020
Bi 1.586 -0.049 5.136
Ca -2.126 -1.808 6.137
Ca 4.361 5.954 0.891
Ca 2.193 3.203 4.687
Ca 3.131 -1.042 2.341

No. 6
4
Lattice="0.000 3.647 3.647 3.647 0.000 3.647 3.647 3.647 0.000" Properties=species:S:1:pos:R:3 comment="CaBi2Rh, relaxed, DFT PBE-GGA" sg="Fm-3m, No. 225" rho_g_cm3=9.6 pbc="T T T"
Bi 1.824 1.824 1.824
Rh 3.647 3.647 3.647
Bi 5.471 5.471 5.471
Ca 0.000 0.000 0.000

No. 7
11
Lattice="5.333 0.000 2.546 2.667 5.227 1.273 -0.943 0.000 8.834" Properties=species:S:1:pos:R:3 comment="Ca2Bi4Rh5, relaxed, DFT PBE-GGA" sg="Fmmm, No. 69" rho_g_cm3=9.2 pbc="T T T"
Bi 1.740 1.691 3.214
Rh 4.000 2.613 1.909
Bi 2.651 1.691 8.165
Rh 2.667 0.000 1.273
Bi 5.318 3.536 9.438
Rh 2.195 2.613 5.690
Bi 4.406 3.536 4.487
Ca 4.566 0.000 4.153
Rh 1.333 2.613 0.636
Ca -0.175 0.000 7.227
Rh 4.862 2.613 6.963

No. 8
20
Lattice="2.238 -12.957 0.000 2.238 12.957 0.000 0.000 0.000 7.079" Properties=species:S:1:pos:R:3 comment="Ca2Bi3Rh5, relaxed, DFT PBE-GGA" sg="Cmc2_1, No. 36" rho_g_cm3=9.9 pbc="T T T"
Bi 2.238 -11.800 0.595
Ca 2.238 -0.552 2.051
Rh 2.238 5.753 3.452
Bi 2.238 -3.059 0.276
Bi 2.238 11.800 4.134
Ca 2.238 0.552 5.590
Bi 2.238 3.059 3.815
Rh 2.238 11.465 6.787
Rh 2.238 -9.817 5.836
Ca 2.238 8.380 5.055
Rh 2.238 -5.753 6.992
Rh 2.238 5.131 6.496
Rh 2.238 2.644 0.933
Bi 2.238 -7.261 4.868
Rh 2.238 -2.644 4.472
Rh 2.238 -11.465 3.247
Ca 2.238 -8.380 1.516
Bi 2.238 7.261 1.329
Rh 2.238 9.817 2.297
Rh 2.238 -5.131 2.957

No. 9
5
Lattice="-3.617 2.641 -3.001 -1.056 -4.534 -2.718 -3.856 -1.236 3.560" Properties=species:S:1:pos:R:3 comment="Ca3BiRh, relaxed, DFT PBE-GGA" sg="Pm-3m, No. 221" rho_g_cm3=4.6 pbc="T T T"
Ca -1.928 -0.618 1.780
Ca -1.808 1.321 -1.500
Bi -4.264 -1.564 -1.080
Ca -0.528 -2.267 -1.359
Rh 0.000 0.000 0.000

No. 10
18
Lattice="5.932 0.000 -2.324 0.000 7.405 0.000 0.065 0.000 8.899" Properties=species:S:1:pos:R:3 comment="Ca2Bi3Rh4, relaxed, DFT PBE-GGA" sg="Cmce, No. 64" rho_g_cm3=9.5 pbc="T T T"
Bi 2.966 3.702 -1.162
Bi 3.068 5.554 3.465
Bi 0.000 0.000 0.000
Ca 5.402 3.086 5.056
Rh 1.011 7.251 2.581
Ca 0.595 4.319 1.519
Bi 0.102 5.554 4.627
Rh 2.020 3.548 5.155
Bi 5.895 1.851 1.948
Rh 4.070 5.554 6.023
Rh 1.927 1.851 0.551
Rh 3.977 3.857 1.419
Rh 1.104 5.554 7.185
Ca 3.561 6.789 0.357
Ca 2.436 0.616 6.218
Bi 2.929 1.851 3.110
Rh 4.893 1.851 -0.611
Rh 4.986 0.154 3.993

No. 11
9
Lattice="6.058 -0.203 0.000 -2.995 5.270 0.000 -1.531 -2.533 7.094" Properties=species:S:1:pos:R:3 comment="Ca2Bi4Rh3, relaxed, DFT PBE-GGA" sg="Fmmm, No. 69" rho_g_cm3=9.2 pbc="T T T"
Ca 0.000 0.000 5.457
Bi 3.078 -1.861 4.942
Ca 1.531 2.533 1.637
Bi -3.078 1.861 4.942
Rh -1.497 2.635 0.000
Bi 4.609 0.673 2.152
Rh 3.029 -0.101 0.000
Bi -1.546 4.394 2.152
Rh 0.000 0.000 0.000

No. 12
5
Lattice="-3.129 -3.255 2.097 3.869 -2.734 1.529 0.520 -0.445 5.993" Properties=species:S:1:pos:R:3 comment="CaBi2Rh2, relaxed, DFT PBE-GGA" sg="I4/mmm, No. 139" rho_g_cm3=9.1 pbc="T T T"
Bi -1.119 -3.348 4.952
Rh 0.410 -2.324 2.912
Rh 0.851 -4.110 6.707
Bi 2.380 -3.087 4.668
Ca 0.000 0.000 0.000

Calculated energy relative to the elements (kJ per mole of atoms), listed in the same order as above: -29 -54 -35 -33 -53 -25 -24 -28 -46 -38 -41 -24
Calculated uncorrected energy (eV/cell), listed in the same order as above: -25.95 -41.24 -66.70 -36.95 -45.09 -18.16 -59.06 -110.66 -19.64 -97.27 -45.37 -25.72